(1)
A plane-wave DFT calculation with PBE was carried out for crystalline LiTbTmPb at its relaxed geometry.

Lattice parameters (Å, degrees): 5.265 5.265 5.265 60.00 60.00 60.00
Fractional coordinates of all 4 atoms:
Pb 0.500 0.500 0.500
Tm 0.250 0.250 0.250
Tb 0.750 0.750 0.750
Li 0.000 0.000 0.000

Properties
DOS(E_F)	3.7	states/eV per cell
size of the total moment	0.001	μB per cell
total DFT energy (no corrections)	-15.70	eV per cell
formation enthalpy at 0 K	-0.2445	eV/atom
symmetry	F-43m, No. 216



(2)
A plane-wave DFT calculation with PBE was carried out for crystalline Be2InCl at its relaxed geometry.

Lattice parameters (Å, degrees): 5.503 5.503 7.132 44.78 44.78 30.64
Fractional coordinates of all 4 atoms:
Be 0.034 0.034 0.836
Be 0.466 0.466 0.664
Cl 0.750 0.750 0.750
In 0.250 0.250 0.250

Properties
DOS(E_F)	0.7	states/eV per cell
distance to the lowest polymorph of the same formula	57.3	meV/atom
size of the total moment	0.000	μB per cell
total DFT energy (no corrections)	-11.03	eV per cell
formation energy from raw total energies	97	kJ/mol of formula units
symmetry	C2/m, No. 12



(3)
A plane-wave DFT calculation with PBE was carried out for crystalline LiGeAs2 at its relaxed geometry.

Lattice parameters (Å, degrees): 7.044 5.421 9.692 87.98 90.00 90.00
Fractional coordinates of all 16 atoms:
Li 0.289 0.917 0.375
Li 0.711 0.083 0.625
Li 0.289 0.583 0.125
Li 0.711 0.417 0.875
Ge 0.134 0.585 0.614
Ge 0.866 0.415 0.386
Ge 0.134 0.915 0.886
Ge 0.866 0.085 0.114
As 0.784 0.909 0.889
As 0.216 0.091 0.111
As 0.784 0.591 0.611
As 0.216 0.409 0.389
As 0.674 0.459 0.175
As 0.326 0.541 0.825
As 0.674 0.041 0.325
As 0.326 0.959 0.675

Properties
DOS(E_F)	0.2	states/eV per cell
size of the total moment	0.000	μB per cell
total DFT energy (no corrections)	-65.39	eV per cell
formation enthalpy at 0 K	-0.1291	eV/atom
symmetry	P2/c, No. 13



(4)
A plane-wave DFT calculation with PBE was carried out for crystalline La2HfB2 at its relaxed geometry.

Lattice parameters (Å, degrees): 4.616 4.616 6.157 67.98 67.98 90.00
Each line ends with the local moment (μB).
Fractional coordinates of all 5 atoms:
B 0.750 0.250 0.500  0.01
B 0.250 0.750 0.500  0.01
Hf 0.000 0.000 0.000  -0.17
La 0.358 0.358 0.283  -0.01
La 0.642 0.642 0.717  -0.01

Properties
DOS(E_F)	4.2	states/eV per cell
distance to the lowest polymorph of the same formula	669.4	meV/atom
size of the total moment	0.264	μB per cell
total DFT energy (no corrections)	-28.86	eV per cell
formation enthalpy at 0 K	0.8598	eV/atom
symmetry	I4/mmm, No. 139



(5)
A plane-wave DFT calculation with PBE was carried out for crystalline CaAc3In4 at its relaxed geometry.

Lattice parameters (Å, degrees): 3.947 3.947 16.982 90.00 90.00 90.00
Fractional coordinates of all 8 atoms:
Ca 0.500 0.500 0.000
Ac 0.500 0.500 0.239
Ac 0.500 0.500 0.500
Ac 0.500 0.500 0.761
In 0.000 0.000 0.893
In 0.000 0.000 0.107
In 0.000 0.000 0.368
In 0.000 0.000 0.632

Properties
DOS(E_F)	7.6	states/eV per cell
size of the total moment	0.000	μB per cell
total DFT energy (no corrections)	-28.73	eV per cell
formation enthalpy at 0 K	-0.4317	eV/atom
symmetry	P4/mmm, No. 123



(6)
A plane-wave DFT calculation with PBE was carried out for crystalline K4Cd5Au3 at its relaxed geometry.

Lattice parameters (Å, degrees): 5.347 8.148 9.142 109.29 107.01 90.00
Fractional coordinates of all 12 atoms:
K 0.892 0.059 0.783
K 0.174 0.430 0.348
K 0.826 0.570 0.652
K 0.108 0.941 0.217
Cd 0.319 0.224 0.638
Cd 0.000 0.500 0.000
Cd 0.451 0.804 0.902
Cd 0.549 0.196 0.098
Cd 0.681 0.776 0.362
Au 0.289 0.836 0.579
Au 0.500 0.500 0.000
Au 0.711 0.164 0.421

Properties
DOS(E_F)	4.1	states/eV per cell
size of the total moment	0.000	μB per cell
total DFT energy (no corrections)	-20.54	eV per cell
formation enthalpy at 0 K	-0.1454	eV/atom
symmetry	C2/m, No. 12



(7)
A plane-wave DFT calculation with PBE was carried out for crystalline TbDy2Pu3Se6 at its relaxed geometry.

Lattice parameters (Å, degrees): 3.983 7.266 14.611 122.22 97.83 90.00
Each line ends with the local moment (μB).
Fractional coordinates of all 12 atoms:
Tb 0.500 0.000 0.000  0.54
Dy 0.725 0.697 0.451  0.13
Dy 0.275 0.303 0.549  0.13
Pu 0.500 0.500 0.000  5.84
Pu 0.634 0.001 0.268  5.55
Pu 0.366 0.999 0.732  5.55
Se 0.181 0.847 0.361  -0.03
Se 0.818 0.643 0.637  -0.03
Se 0.819 0.153 0.639  -0.03
Se 0.958 0.151 0.916  -0.05
Se 0.042 0.849 0.084  -0.05
Se 0.182 0.357 0.363  -0.03

Properties
DOS(E_F)	30.2	states/eV per cell
size of the total moment	19.751	μB per cell
total DFT energy (no corrections)	-93.84	eV per cell
formation energy from raw total energies	-1553	kJ/mol of formula units
symmetry	C2/m, No. 12



(8)
A plane-wave DFT calculation with PBE was carried out for crystalline AsPI3 at its relaxed geometry.

Lattice parameters (Å, degrees): 5.540 5.540 5.540 90.00 90.00 90.00
Each line ends with the local moment (μB).
Fractional coordinates of all 5 atoms:
I 0.000 0.500 0.000  0.02
I 0.000 0.000 0.500  0.01
I 0.500 0.000 0.000  0.04
P 0.000 0.000 0.000  -0.01
As 0.500 0.500 0.500  0.99

Properties
DOS(E_F)	3.9	states/eV per cell
distance to the lowest polymorph of the same formula	0.0	meV/atom
size of the total moment	2.243	μB per cell
total DFT energy (no corrections)	-11.52	eV per cell
formation energy from raw total energies	308	kJ/mol of formula units
symmetry	Pm-3m, No. 221



(9)
A plane-wave DFT calculation with PBE was carried out for crystalline ScRuPb2 at its relaxed geometry.

Lattice parameters (Å, degrees): 4.477 7.664 4.273 55.90 90.15 126.04
Fractional coordinates of all 4 atoms:
Pb 0.000 0.000 0.000
Pb 0.000 0.500 0.500
Ru 0.500 0.500 0.000
Sc 0.500 0.000 0.500

Properties
DOS(E_F)	4.0	states/eV per cell
distance to the lowest polymorph of the same formula	242.1	meV/atom
size of the total moment	0.000	μB per cell
total DFT energy (no corrections)	-22.54	eV per cell
formation enthalpy at 0 K	0.1214	eV/atom
symmetry	C2/m, No. 12



(10)
A plane-wave DFT calculation with PBE was carried out for crystalline CsScI2O8 at its relaxed geometry.

Lattice parameters (Å, degrees): 5.738 5.738 9.029 71.47 71.47 60.00
Each line ends with the local moment (μB).
Fractional coordinates of all 12 atoms:
Cs 0.500 0.500 0.500  0.00
Sc 0.000 0.000 0.000  0.03
I 0.275 0.275 0.176  0.11
I 0.725 0.725 0.824  0.11
O 0.204 0.204 0.389  0.01
O 0.637 0.237 0.147  0.22
O 0.796 0.796 0.611  0.01
O 0.979 0.637 0.147  0.22
O 0.021 0.363 0.853  0.22
O 0.237 0.979 0.147  0.22
O 0.763 0.021 0.853  0.22
O 0.363 0.763 0.853  0.22

Properties
DOS(E_F)	2.6	states/eV per cell
size of the total moment	1.997	μB per cell
total DFT energy (no corrections)	-62.55	eV per cell
formation energy from raw total energies	-1215	kJ/mol of formula units
symmetry	R-3, No. 148



(11)
A plane-wave DFT calculation with PBE was carried out for crystalline CaTi2Au2 at its relaxed geometry.

Lattice parameters (Å, degrees): 7.916 7.916 3.206 90.00 90.00 90.00
Each line ends with the local moment (μB).
Fractional coordinates of all 10 atoms:
Ca 0.000 0.000 0.000  0.04
Ca 0.500 0.500 0.000  0.04
Au 0.369 0.869 0.000  0.03
Au 0.869 0.631 0.000  0.03
Au 0.631 0.131 0.000  0.03
Au 0.131 0.369 0.000  0.03
Ti 0.161 0.661 0.500  0.57
Ti 0.661 0.839 0.500  0.58
Ti 0.839 0.339 0.500  0.57
Ti 0.339 0.161 0.500  0.58

Properties
DOS(E_F)	8.8	states/eV per cell
distance to the lowest polymorph of the same formula	93.1	meV/atom
size of the total moment	3.178	μB per cell
total DFT energy (no corrections)	-50.82	eV per cell
formation enthalpy at 0 K	-0.2130	eV/atom
symmetry	P4/mbm, No. 127



(12)
A plane-wave DFT calculation with PBE was carried out for crystalline YAg2PdAu at its relaxed geometry.

Lattice parameters (Å, degrees): 5.413 5.286 5.413 90.00 90.00 90.00
Fractional coordinates of all 5 atoms:
Y 0.000 0.000 0.000
Au 0.000 0.500 0.000
Pd 0.500 0.500 0.500
Ag 0.000 0.000 0.500
Ag 0.500 0.000 0.000

Properties
DOS(E_F)	3.6	states/eV per cell
size of the total moment	0.000	μB per cell
total DFT energy (no corrections)	-15.37	eV per cell
formation enthalpy at 0 K	1.0528	eV/atom
symmetry	P4/mmm, No. 123



Question: Which of these has the highest DOS(E_F)?
Answer: TbDy2Pu3Se6



Copy entry 3 word for word.
A plane-wave DFT calculation with PBE was carried out for crystalline LiGeAs2 at its relaxed geometry.

Lattice parameters (Å, degrees): 7.044 5.421 9.692 87.98 90.00 90.00
Fractional coordinates of all 16 atoms:
Li 0.289 0.917 0.375
Li 0.711 0.083 0.625
Li 0.289 0.583 0.125
Li 0.711 0.417 0.875
Ge 0.134 0.585 0.614
Ge 0.866 0.415 0.386
Ge 0.134 0.915 0.886
Ge 0.866 0.085 0.114
As 0.784 0.909 0.889
As 0.216 0.091 0.111
As 0.784 0.591 0.611
As 0.216 0.409 0.389
As 0.674 0.459 0.175
As 0.326 0.541 0.825
As 0.674 0.041 0.325
As 0.326 0.959 0.675

Properties
DOS(E_F)	0.2	states/eV per cell
size of the total moment	0.000	μB per cell
total DFT energy (no corrections)	-65.39	eV per cell
formation enthalpy at 0 K	-0.1291	eV/atom
symmetry	P2/c, No. 13